No. 1
An optimized crystal structure of Sc8Fe2Rh. Source: the Alexandria database, functional PBE.

Computed properties:
* V: 222 Å³ per cell
* electronic total energy: -7.0120 eV per atom
* formation energy from the elements: -0.200 eV/atom

abc: 5.175 6.942 6.942
angles: 111.55 99.54 99.54
Sites, in units of the cell vectors:
Fe1 0.499 0.689 0.317
Sc1 0.593 0.070 0.334
Sc2 0.406 0.672 0.936
Sc3 0.000 0.780 0.227
Sc4 0.406 0.936 0.672
Rh1 0.001 0.003 0.003
Sc5 0.593 0.334 0.070
Sc6 0.189 0.369 0.369
Fe2 0.499 0.317 0.689
Sc7 0.000 0.227 0.780
Sc8 0.811 0.637 0.637

---

No. 2
An optimized crystal structure of ScFeRh. Source: the Alexandria database, functional PBE.

Computed properties:
* V: 54 Å³ per cell
* electronic total energy: -6.9922 eV per atom
* formation energy from the elements: 0.390 eV/atom

abc: 4.248 4.248 4.248
angles: 60.00 60.00 60.00
Last column: magnetic moment on the atom in μB.
Sites, in units of the cell vectors:
Fe1 0.000 0.000 0.000  2.57
Rh1 0.500 0.500 0.500  0.29
Sc1 0.750 0.750 0.750  -0.24

---

No. 3
An optimized crystal structure of Sc2FeRh9. Source: the Alexandria database, functional PBE.

Computed properties:
* V: 177 Å³ per cell
* electronic total energy: -7.6961 eV per atom
* formation energy from the elements: -0.422 eV/atom

abc: 3.883 3.883 11.719
angles: 90.00 90.00 90.00
Last column: magnetic moment on the atom in μB.
Sites, in units of the cell vectors:
Sc1 0.000 0.000 0.331  0.01
Rh1 0.500 0.000 0.500  -0.01
Sc2 0.000 0.000 0.669  0.01
Rh2 0.000 0.500 0.843  0.16
Rh3 0.500 0.500 0.330  0.01
Rh4 0.500 0.500 0.670  0.01
Rh5 0.000 0.500 0.500  -0.01
Fe1 0.000 0.000 0.000  3.01
Rh6 0.500 0.000 0.843  0.16
Rh7 0.000 0.500 0.157  0.16
Rh8 0.500 0.500 0.000  0.16
Rh9 0.500 0.000 0.157  0.16

---

No. 4
An optimized crystal structure of ScFeRh2. Source: the Alexandria database, functional PBE.

Computed properties:
* V: 61 Å³ per cell
* electronic total energy: -7.6710 eV per atom
* formation energy from the elements: -0.297 eV/atom

abc: 4.576 4.576 4.911
angles: 77.61 77.61 37.58
Last column: magnetic moment on the atom in μB.
Sites, in units of the cell vectors:
Rh1 0.993 0.993 0.019  0.35
Fe1 0.250 0.250 0.250  2.87
Rh2 0.507 0.507 0.481  0.35
Sc1 0.750 0.750 0.750  -0.14

---

No. 5
An optimized crystal structure of Sc6FeRh5. Source: the Alexandria database, functional PBE.

Computed properties:
* V: 198 Å³ per cell
* electronic total energy: -7.8015 eV per atom
* formation energy from the elements: -0.867 eV/atom

abc: 4.548 6.408 7.858
angles: 114.06 106.82 90.00
Sites, in units of the cell vectors:
Rh1 0.000 0.500 0.000
Rh2 0.333 0.333 0.666
Rh3 0.667 0.167 0.334
Sc1 0.500 0.756 0.000
Rh4 0.333 0.833 0.666
Sc2 0.164 0.411 0.328
Fe1 0.000 0.000 0.000
Sc3 0.836 0.589 0.672
Sc4 0.836 0.083 0.672
Sc5 0.500 0.244 0.000
Rh5 0.667 0.667 0.334
Sc6 0.164 0.917 0.328

---

No. 6
An optimized crystal structure of ScFe2Rh2. Source: the Alexandria database, functional PBE.

Computed properties:
* V: 148 Å³ per cell
* electronic total energy: -7.7641 eV per atom
* formation energy from the elements: -0.172 eV/atom

abc: 7.230 7.230 2.835
angles: 90.00 90.00 90.00
Last column: magnetic moment on the atom in μB.
Sites, in units of the cell vectors:
Fe1 0.384 0.884 0.000  2.62
Rh1 0.820 0.320 0.500  0.42
Rh2 0.680 0.820 0.500  0.42
Fe2 0.884 0.616 0.000  2.64
Rh3 0.320 0.180 0.500  0.42
Fe3 0.616 0.116 0.000  2.62
Sc1 0.000 0.000 0.000  -0.17
Fe4 0.116 0.384 0.000  2.64
Sc2 0.500 0.500 0.000  -0.17
Rh4 0.180 0.680 0.500  0.42

---

No. 7
An optimized crystal structure of ScFeRh. Source: the Alexandria database, functional PBE.

Computed properties:
* V: 48 Å³ per cell
* electronic total energy: -7.6706 eV per atom
* formation energy from the elements: -0.289 eV/atom

abc: 4.306 4.306 2.962
angles: 90.00 90.00 120.00
Last column: magnetic moment on the atom in μB.
Sites, in units of the cell vectors:
Sc1 0.333 0.667 0.660  -0.18
Fe1 0.000 0.000 0.080  2.71
Rh1 0.667 0.333 0.260  0.49

---

No. 8
An optimized crystal structure of Sc2FeRh. Source: the Alexandria database, functional PBE.

Computed properties:
* V: 68 Å³ per cell
* electronic total energy: -7.2882 eV per atom
* formation energy from the elements: -0.169 eV/atom

abc: 4.339 4.339 5.542
angles: 79.81 79.81 41.22
Last column: magnetic moment on the atom in μB.
Sites, in units of the cell vectors:
Sc1 0.995 0.995 0.007  -0.22
Sc2 0.505 0.505 0.493  -0.22
Rh1 0.750 0.750 0.750  0.09
Fe1 0.250 0.250 0.250  1.42

---

No. 9
An optimized crystal structure of ScFeRh4. Source: the Alexandria database, functional PBE.

Computed properties:
* V: 95 Å³ per cell
* electronic total energy: -7.5527 eV per atom
* formation energy from the elements: -0.186 eV/atom

abc: 5.129 5.129 5.129
angles: 60.00 60.00 60.00
Last column: magnetic moment on the atom in μB.
Sites, in units of the cell vectors:
Rh1 0.375 0.876 0.375  0.33
Rh2 0.375 0.375 0.876  0.33
Fe1 0.000 0.000 0.000  3.28
Rh3 0.876 0.375 0.375  0.33
Rh4 0.375 0.375 0.375  0.33
Sc1 0.750 0.750 0.750  -0.05

---

No. 10
An optimized crystal structure of ScFeSi2Rh. Source: the Alexandria database, functional PBE.

Computed properties:
* V: 74 Å³ per cell
* electronic total energy: -7.4151 eV per atom
* formation energy (no corrections): -0.817 eV per atom

abc: 3.952 3.952 5.523
angles: 110.96 110.96 90.00
Sites, in units of the cell vectors:
Rh1 0.250 0.750 0.500
Sc1 0.000 0.000 0.000
Si1 0.624 0.624 0.249
Fe1 0.750 0.250 0.500
Si2 0.376 0.376 0.751

---

No. 11
An optimized crystal structure of ScFeSiRh. Source: the Alexandria database, functional PBE.

Computed properties:
* V: 54 Å³ per cell
* electronic total energy: -7.5820 eV per atom
* formation energy (no corrections): -0.690 eV per atom

abc: 4.243 4.243 4.243
angles: 60.00 60.00 60.00
Sites, in units of the cell vectors:
Sc1 0.750 0.750 0.750
Fe1 0.500 0.500 0.500
Rh1 0.000 0.000 0.000
Si1 0.250 0.250 0.250

---

No. 12
An optimized crystal structure of ScFeSnRh. Source: the Alexandria database, functional PBE.

Computed properties:
* V: 63 Å³ per cell
* electronic total energy: -7.0622 eV per atom
* formation energy from the elements: -0.525 eV/atom

abc: 4.470 4.470 4.470
angles: 60.00 60.00 60.00
Sites, in units of the cell vectors:
Fe1 0.750 0.750 0.750
Rh1 0.250 0.250 0.250
Sc1 0.500 0.500 0.500
Sn1 0.000 0.000 0.000